Density functional theory data (GGA+U) for CaAcCr2O8 after structural relaxation.

Total DFT energy (no corrections)   -7.209 eV/atom

Geometry as POSCAR:
```
CaAcCr2O8
1.0
-2.135 4.649 3.598
-4.070 -2.518 -4.027
1.633 -4.601 3.910
Ca Ac Cr O
1 1 2 8
Direct
0.000 0.000 0.000 Ca
0.250 0.750 0.500 Ac
0.750 0.250 0.500 Cr
0.500 0.500 0.000 Cr
0.420 0.096 0.324 O
0.330 0.505 0.175 O
0.330 0.155 0.825 O
0.772 0.096 0.676 O
0.845 0.670 0.175 O
0.904 0.228 0.324 O
0.904 0.580 0.676 O
0.495 0.670 0.825 O
```